# 1
The following is a PBE calculation of a relaxed Ga6NiIr crystal, from Alexandria.

Its spin magnetization is 0.000 μB/atom. As for the electronic total energy: -4.1755 eV/atom. The value obtained for the formation energy from the elements is -75 meV/atom.

The structure belongs to space group C2/m (No. 12); the cell edges are 6.171, 8.405 and 6.025 Å and the angles 90.00°, 105.02° and 90.00°. Symmetry generates all atoms from Ga at (0.239, 0.191, 0.243), Ga at (0.245, 0.500, 0.232), Ni at (0.000, 0.000, 0.000) and Ir at (0.000, 0.500, 0.500).

=====

# 2
The following is a PBE calculation of a relaxed Ga2Ni2Ir crystal, from Alexandria.

Its spin magnetization is 0.000 μB/atom. As for the electronic total energy: -5.5110 eV/atom. The value obtained for the formation energy from the elements is -215 meV/atom.

The structure belongs to space group P4/mbm (No. 127); the cell edges are 6.783, 6.783 and 2.836 Å and the angles 90.00°, 90.00° and 90.00°. Symmetry generates all atoms from Ga at (0.146, 0.354, 0.000), Ni at (0.151, 0.651, 0.500) and Ir at (0.000, 0.000, 0.000).

=====

# 3
The following is a PBE calculation of a relaxed Ga2Ni2Ir crystal, from Alexandria.

Its spin magnetization is 0.000 μB/atom. As for the electronic total energy: -5.4774 eV/atom. The value obtained for the formation energy from the elements is -182 meV/atom.

The structure belongs to space group P4/mbm (No. 127); the cell edges are 6.866, 6.866 and 2.763 Å and the angles 90.00°, 90.00° and 90.00°. Symmetry generates all atoms from Ga at (0.174, 0.326, 0.000), Ni at (0.125, 0.625, 0.500) and Ir at (0.000, 0.000, 0.500).

=====

# 4
The following is a PBE calculation of a relaxed Ga6Ni12Ir crystal, from Alexandria.

Its spin magnetization is 0.000 μB/atom. As for the electronic total energy: -5.0672 eV/atom. The value obtained for the formation energy from the elements is 6 meV/atom.

The structure belongs to space group R-3m (No. 166, hexagonal axes); the cell edges are 10.7156, 10.7156 and 7.6056 Å and the angles 90.00°, 90.00° and 120.00°. Symmetry generates all atoms from Ga at (0.0645, 0.5323, 0.2410), Ni at (0.0000, 0.3819, 0.5000), Ni at (0.0798, 0.1595, 0.2634) and Ir at (0.0000, 0.0000, 0.0000).

=====

# 5
The following is a PBE calculation of a relaxed Ga2NiIr crystal, from Alexandria.

Its spin magnetization is 0.000 μB/atom. As for the electronic total energy: -5.4793 eV/atom. The value obtained for the formation energy from the elements is -305 meV/atom.

The structure belongs to space group R3m (No. 160, hexagonal axes); the cell edges are 2.8729, 2.8729 and 23.4017 Å and the angles 90.00°, 90.00° and 120.00°. Symmetry generates all atoms from Ga at (0.0000, 0.0000, 0.0000), Ga at (0.0000, 0.0000, 0.1748), Ni at (0.0000, 0.0000, 0.5866) and Ir at (0.0000, 0.0000, 0.4208).

=====

# 6
The following is a PBE calculation of a relaxed GaNi4Ir crystal, from Alexandria.

Its spin magnetization is 0.000 μB/atom. As for the electronic total energy: -5.8521 eV/atom. The value obtained for the formation energy from the elements is -17 meV/atom.

The structure belongs to space group Fddd (No. 70, origin choice 2); the cell edges are 5.056, 8.406 and 14.156 Å and the angles 90.00°, 90.00° and 90.00°. Symmetry generates all atoms from Ga at (0.125, 0.125, 0.125), Ni at (0.122, 0.375, 0.031) and Ir at (0.125, 0.125, 0.625).

=====

# 7
The following is a PBE calculation of a relaxed GaNi12Ir3 crystal, from Alexandria.

Its spin magnetization is 0.353 μB/atom. As for the electronic total energy: -6.0499 eV/atom. The value obtained for the formation energy from the elements is 137 meV/atom.

The structure belongs to space group R3c (No. 161, hexagonal axes); the cell edges are 12.2106, 12.2106 and 9.0170 Å and the angles 90.00°, 90.00° and 120.00°. Symmetry generates all atoms from Ga at (0.0000, 0.0000, 0.0000), Ni at (0.0501, 0.1406, 0.2351), Ni at (0.0997, 0.5443, 0.1472), Ni at (0.1647, 0.4202, 0.3126), Ni at (0.2093, 0.4448, 0.5712) and Ir at (0.0309, 0.3524, 0.8059).

=====

# 8
The following is a PBE calculation of a relaxed Ga3Ni2Ir crystal, from Alexandria.

Its spin magnetization is 0.000 μB/atom. As for the electronic total energy: -5.2842 eV/atom. The value obtained for the formation energy from the elements is -367 meV/atom.

The structure belongs to space group P4/mmm (No. 123); the cell edges are 2.980, 2.980 and 8.828 Å and the angles 90.00°, 90.00° and 90.00°. Symmetry generates all atoms from Ga at (0.000, 0.000, 0.000), Ga at (0.000, 0.000, 0.319), Ni at (0.500, 0.500, 0.161) and Ir at (0.500, 0.500, 0.500).

=====

# 9
The following is a PBE calculation of a relaxed Ga2Ni15Ir2 crystal, from Alexandria.

Its spin magnetization is 0.412 μB/atom. As for the electronic total energy: -5.7299 eV/atom. The value obtained for the formation energy from the elements is 86 meV/atom.

The structure belongs to space group R-3m (No. 166, hexagonal axes); the cell edges are 8.0651, 8.0651 and 12.4874 Å and the angles 90.00°, 90.00° and 120.00°. Symmetry generates all atoms from Ga at (0.0000, 0.0000, 0.1323), Ni at (0.0000, 0.3310, 0.5000), Ni at (0.0000, 0.5000, 0.0000), Ni at (0.0060, 0.5030, 0.6651) and Ir at (0.0000, 0.0000, 0.4039).

=====

# 10
The following is a PBE calculation of a relaxed GaNiIr crystal, from Alexandria.

Its spin magnetization is 0.000 μB/atom. As for the electronic total energy: -6.1313 eV/atom. The value obtained for the formation energy from the elements is -242 meV/atom.

The structure belongs to space group Cm (No. 8); the cell edges are 8.363, 3.781 and 5.275 Å and the angles 90.00°, 105.49° and 90.00°. Symmetry generates all atoms from Ga at (0.000, 0.000, 0.000), Ga at (0.196, 0.500, 0.360), Ni at (0.175, 0.500, 0.854), Ni at (0.331, 0.000, 0.181), Ir at (0.024, 0.000, 0.497) and Ir at (0.352, 0.000, 0.698).

=====

# 11
The following is a PBE calculation of a relaxed NpGa4Ni2Ir crystal, from Alexandria.

Its spin magnetization is 0.479 μB/atom. As for the electronic total energy: -5.9435 eV/atom. The value obtained for the formation energy from the elements is -260 meV/atom.

The structure belongs to space group R-3m (No. 166, hexagonal axes); the cell edges are 4.1234, 4.1234 and 26.4493 Å and the angles 90.00°, 90.00° and 120.00°. Symmetry generates all atoms from Np at (0.0000, 0.0000, 0.0000), Ga at (0.0000, 0.0000, 0.1280), Ga at (0.0000, 0.0000, 0.4008), Ni at (0.0000, 0.0000, 0.2307) and Ir at (0.0000, 0.0000, 0.5000).

=====

# 12
The following is a PBE calculation of a relaxed PmGaNiIr crystal, from Alexandria.

Its spin magnetization is 0.000 μB/atom. As for the electronic total energy: -5.9486 eV/atom. The value obtained for the formation energy from the elements is -344 meV/atom.

The structure belongs to space group F-43m (No. 216); the cell edges are 6.542, 6.542 and 6.542 Å and the angles 90.00°, 90.00° and 90.00°. Symmetry generates all atoms from Pm at (0.000, 0.000, 0.000), Ga at (0.000, 0.000, 0.500), Ni at (0.250, 0.250, 0.750) and Ir at (0.250, 0.250, 0.250).